Version A
# Ga3GeN

A relaxed Ga3GeN crystal (PBE, Alexandria).

## Properties
ρ in Mg/m³: 4.334
Fermi-level density of states in states/eV/cell: 1.993
SG: Pm-3m, No. 221

```
5
Lattice="4.8393 0.0000 0.0000 0.0000 4.8393 0.0000 0.0000 0.0000 4.8393" Properties=species:S:1:pos:R:3 pbc="T T T"
Ge 0.0000 0.0000 0.0000
Ga 0.0000 2.4197 0.0000
Ga 0.0000 0.0000 2.4197
Ga 2.4197 0.0000 0.0000
N 2.4197 2.4197 2.4197
```

***

Version B
# Ga3GeN

A relaxed Ga3GeN crystal (PBE, Alexandria).

## Properties
ρ in Mg/m³: 6.048
Fermi-level density of states in states/eV/cell: 0.748
SG: Pm-3m, No. 221

```
5
Lattice="4.3305 0.0000 0.0000 0.0000 4.3305 0.0000 0.0000 0.0000 4.3305" Properties=species:S:1:pos:R:3 pbc="T T T"
Ge 2.1653 2.1653 2.1653
Ga 0.0000 2.1653 0.0000
Ga 0.0000 0.0000 2.1653
Ga 2.1653 0.0000 0.0000
N 0.0000 0.0000 0.0000
```

***

Which structure wins on stability? version B wins.

***

Version A
# GaGeSe2N

A relaxed GaGeSe2N crystal (PBE, Alexandria).

## Properties
ρ in Mg/m³: 5.209
Fermi-level density of states in states/eV/cell: 2.059
SG: P4/mmm, No. 123

```
5
Lattice="-2.7724 -2.4183 -3.6596 4.3508 -0.9653 -2.6582 0.4001 -3.2187 1.8238" Properties=species:S:1:pos:R:3 pbc="T T T"
Ge 0.9893 -3.3012 -2.2470
Ga 0.0000 0.0000 0.0000
Se 2.1754 -0.4827 -1.3291
Se -1.3862 -1.2092 -1.8298
N 0.2001 -1.6093 0.9119
```

***

Version B
# GaGeSe2N

A relaxed GaGeSe2N crystal (PBE, Alexandria).

## Properties
ρ in Mg/m³: 5.217
Fermi-level density of states in states/eV/cell: 3.904
SG: P4/mmm, No. 123

```
5
Lattice="5.3374 0.0000 0.0000 0.0000 5.3374 0.0000 0.0000 0.0000 3.5117" Properties=species:S:1:pos:R:3 pbc="T T T"
Ge 0.0000 0.0000 0.0000
Ga 2.6687 2.6687 1.7558
Se 0.0000 2.6687 0.0000
Se 2.6687 0.0000 0.0000
N 0.0000 0.0000 1.7558
```

***

Which structure wins on stability? version B wins.

***

Version A
# GaGeTeN2

A relaxed GaGeTeN2 crystal (PBE, Alexandria).

## Properties
ρ in Mg/m³: 5.269
Fermi-level density of states in states/eV/cell: 2.665
SG: P4/mmm, No. 123

```
5
Lattice="-1.3231 3.6975 -0.9418 -0.4678 -1.1465 -3.8439 -5.3993 -1.6400 1.1463" Properties=species:S:1:pos:R:3 pbc="T T T"
Ge -3.5951 0.4554 -1.8197
Te -2.6997 -0.8200 0.5732
Ga 0.0000 0.0000 0.0000
N -0.2339 -0.5733 -1.9219
N -0.6615 1.8487 -0.4709
```

***

Version B
# GaGeTeN2

A relaxed GaGeTeN2 crystal (PBE, Alexandria).

## Properties
ρ in Mg/m³: 5.020
Fermi-level density of states in states/eV/cell: 2.221
SG: P4/mmm, No. 123

```
5
Lattice="-0.9527 3.4982 1.1225 0.7825 -0.9399 3.5930 6.4710 2.0430 -0.8749" Properties=species:S:1:pos:R:3 pbc="T T T"
Ge 0.0000 0.0000 0.0000
Te 3.2355 1.0215 -0.4374
Ga 3.1504 2.3007 1.9203
N 0.3913 -0.4699 1.7965
N -0.4763 1.7491 0.5613
```

***

Which structure wins on stability? version B wins.

***

Version A
# NaGa3Ge

A relaxed NaGa3Ge crystal (PBE, Alexandria).

## Properties
ρ in Mg/m³: 4.761
Fermi-level density of states in states/eV/cell: 1.708
SG: Cm, No. 8

```
5
Lattice="-1.7937 -1.1071 3.8907 3.3866 -2.7562 0.7172 1.9557 5.9454 0.1028" Properties=species:S:1:pos:R:3 pbc="T T T"
Na 2.1954 3.1983 1.9217
Ga -0.0816 0.6400 2.6601
Ga 2.5120 -0.1857 1.0712
Ga 0.0918 0.1303 0.0821
Ge 2.3629 0.3570 3.6717
```

***

Version B
# NaGa3Ge

A relaxed NaGa3Ge crystal (PBE, Alexandria).

## Properties
ρ in Mg/m³: 3.700
Fermi-level density of states in states/eV/cell: 3.346
SG: Pm-3m, No. 221

```
5
Lattice="5.1527 0.0000 0.0000 0.0000 5.1527 0.0000 0.0000 0.0000 5.1527" Properties=species:S:1:pos:R:3 pbc="T T T"
Na 2.5764 2.5764 2.5764
Ge 0.0000 0.0000 0.0000
Ga 0.0000 2.5764 0.0000
Ga 0.0000 0.0000 2.5764
Ga 2.5764 0.0000 0.0000
```

***

Which structure wins on stability? version A wins.

***

Version A
# Na2Ga2Ge

A relaxed Na2Ga2Ge crystal (PBE, Alexandria).

## Properties
ρ in Mg/m³: 3.617
Fermi-level density of states in states/eV/cell: 2.552
SG: C2/c, No. 15

```
10
Lattice="6.1890 0.0000 0.0000 -3.0945 4.9696 0.3052 0.0000 -1.7974 7.5941" Properties=species:S:1:pos:R:3 pbc="T T T"
Na 2.2954 1.1671 1.1597
Na -0.7991 2.9038 2.9425
Na 0.7991 2.0051 6.7395
Na 3.8936 0.2683 4.9568
Ga 2.2056 2.6642 3.9830
Ga 5.3001 1.4066 0.1193
Ga 0.8888 0.5079 3.9163
Ga -2.2056 1.7655 7.7800
Ge 5.7150 -0.4494 1.8985
Ge 0.4739 -1.3481 5.6956
```

***

Version B
# Na2Ga2Ge

A relaxed Na2Ga2Ge crystal (PBE, Alexandria).

## Properties
ρ in Mg/m³: 3.732
Fermi-level density of states in states/eV/cell: 5.617
SG: P4/mbm, No. 127

```
10
Lattice="-0.6341 4.8075 -4.7631 -2.1917 -4.6720 -4.4238 -4.6822 0.8213 1.4524" Properties=species:S:1:pos:R:3 pbc="T T T"
Na -3.9379 -1.9013 -3.1142
Na -4.5738 -0.1772 -6.1393
Na -3.5702 2.8582 -4.6203
Na -2.9343 1.1340 -1.5952
Ge 0.0000 0.0000 0.0000
Ge -1.4129 0.0678 -4.5934
Ga -2.1314 -2.2863 -5.5782
Ga -1.9380 1.2053 -6.9296
Ga -0.6945 2.4219 -3.6086
Ga -0.8878 -1.0698 -2.2572
```

***

Which structure wins on stability? version A wins.

***

Version A
# Na2GaGe

A relaxed Na2GaGe crystal (PBE, Alexandria).

## Properties
ρ in Mg/m³: 3.196
Fermi-level density of states in states/eV/cell: 4.284
SG: I-42d, No. 122

```
8
Lattice="-2.2564 -6.8698 -4.3543 4.6099 -4.8030 5.1890 -1.0041 -6.1589 2.0563" Properties=species:S:1:pos:R:3 pbc="T T T"
Na -1.1081 -6.5039 -1.6032
Na 2.3712 -5.3302 3.2574
Na 0.0824 -8.9475 1.8022
Na 1.3533 -14.8820 2.3256
Ge 0.0000 0.0000 0.0000
Ge -1.0419 -9.4326 -0.9403
Ga 1.1767 -5.8364 0.4173
Ga 2.3913 -8.3992 3.8313
```

***

Version B
# Na2GaGe

A relaxed Na2GaGe crystal (PBE, Alexandria).

## Properties
ρ in Mg/m³: 3.665
Fermi-level density of states in states/eV/cell: 1.860
SG: P4/mmm, No. 123

```
4
Lattice="4.8145 0.0000 0.0000 0.0000 4.2101 0.0000 0.0000 0.0000 4.2101" Properties=species:S:1:pos:R:3 pbc="T T T"
Na 0.0000 0.0000 2.1051
Na 0.0000 2.1051 0.0000
Ge 2.4072 2.1051 2.1051
Ga 2.4072 0.0000 0.0000
```

***

Which structure wins on stability? version B wins.

***

Version A
# Na2GaGe

A relaxed Na2GaGe crystal (PBE, Alexandria).

## Properties
ρ in Mg/m³: 3.516
Fermi-level density of states in states/eV/cell: 3.104
SG: Fm-3m, No. 225

```
4
Lattice="0.0000 3.5429 3.5429 3.5429 0.0000 3.5429 3.5429 3.5429 0.0000" Properties=species:S:1:pos:R:3 pbc="T T T"
Na 1.7714 1.7714 1.7714
Na 5.3143 5.3143 5.3143
Ge 3.5429 3.5429 3.5429
Ga 0.0000 0.0000 0.0000
```

***

Version B
# Na2GaGe

A relaxed Na2GaGe crystal (PBE, Alexandria).

## Properties
ρ in Mg/m³: 3.179
Fermi-level density of states in states/eV/cell: 1.789
SG: Cm, No. 8

```
8
Lattice="4.7416 0.0000 1.3277 2.0850 5.3452 1.6844 0.3542 0.0101 7.8656" Properties=species:S:1:pos:R:3 pbc="T T T"
Na 1.5771 1.2462 3.4983
Na 5.8126 4.4898 6.6332
Na 3.2278 2.3856 6.7338
Na 4.5967 1.8254 1.8452
Ga 1.9256 3.9695 2.2538
Ga 4.9569 5.0271 9.6892
Ge 2.8959 5.2985 7.9189
Ge 3.9896 3.6787 4.0132
```

***

Which structure wins on stability? version B wins.

***

Version A
# NaGaGe2O6

A relaxed NaGaGe2O6 crystal (PBE, Alexandria).

## Properties
ρ in Mg/m³: 3.995
Fermi-level density of states in states/eV/cell: 0.000
SG: C2/c, No. 15

```
20
Lattice="5.6335 0.0292 0.0303 1.8427 7.0426 -0.1904 1.8427 -0.4513 7.0307" Properties=species:S:1:pos:R:3 pbc="T T T"
Na 3.2511 6.2589 0.5794
Na 6.0679 0.3616 6.2912
Ga 3.2511 1.1360 5.5158
Ga 6.0679 5.4845 1.3548
Ge 4.3068 5.1863 4.1452
Ge 2.1955 2.6558 1.5191
Ge 5.0122 1.4342 2.7254
Ge 7.1236 3.9647 5.3515
O 4.2569 6.4970 5.3265
O 2.2453 1.5239 0.1656
O 5.0621 0.1235 1.5441
O 7.0737 5.0967 6.7050
O 4.6543 5.6935 2.5049
O 1.8480 4.3137 1.0730
O 4.6648 0.9270 4.3657
O 7.4710 2.3068 5.7976
O 2.6400 4.5390 4.1012
O 3.8623 2.6757 2.1676
O 6.6790 2.0815 2.7694
O 5.4568 3.9448 4.7030
```

***

Version B
# NaGaGe2O6

A relaxed NaGaGe2O6 crystal (PBE, Alexandria).

## Properties
ρ in Mg/m³: 4.648
Fermi-level density of states in states/eV/cell: 0.000
SG: C2/c, No. 15

```
20
Lattice="-4.8306 2.3425 -4.0799 -0.2624 -5.3325 -4.1185 -4.5364 -2.7087 1.7136" Properties=species:S:1:pos:R:3 pbc="T T T"
Na -5.0473 -5.0411 -2.8216
Na -4.5820 -0.6576 -3.6632
Ga -7.7981 -0.4194 -2.7983
Ga -1.8312 -5.2793 -3.6864
Ge -7.3444 -3.3544 -4.5991
Ge -5.4267 -2.2310 -1.0214
Ge -2.2849 -2.3443 -1.8856
Ge -4.2027 -3.4677 -5.4633
O -8.1680 -1.9946 -3.8859
O -6.2323 -0.8534 -1.7208
O -1.4613 -3.7041 -2.5988
O -3.3970 -4.8453 -4.7640
O -7.7806 -3.7561 -6.2781
O -4.8581 -2.0516 0.6564
O -1.8487 -1.9426 -0.2067
O -4.7712 -3.6471 -7.1412
O -5.5931 -3.2144 -4.3609
O -6.3859 -3.7018 -1.2663
O -4.0362 -2.4844 -2.1238
O -3.2435 -1.9969 -5.2184
```

***

Which structure wins on stability? version B wins.

***

Version A
# RbNa2GaGe

A relaxed RbNa2GaGe crystal (PBE, Alexandria).

## Properties
ρ in Mg/m³: 2.645
Fermi-level density of states in states/eV/cell: 2.448
SG: P4/mmm, No. 123

```
5
Lattice="-2.5574 -1.7176 -4.8642 5.0434 0.3081 -2.7605 0.9761 -4.9416 1.2318" Properties=species:S:1:pos:R:3 pbc="T T T"
Na 2.5217 0.1541 -1.3802
Na -1.2787 -0.8588 -2.4321
Ge 0.4880 -2.4708 0.6159
Ga 0.0000 0.0000 0.0000
Rb 1.7310 -3.1756 -3.1964
```

***

Version B
# RbNa2GaGe

A relaxed RbNa2GaGe crystal (PBE, Alexandria).

## Properties
ρ in Mg/m³: 2.604
Fermi-level density of states in states/eV/cell: 2.189
SG: P4/mmm, No. 123

```
5
Lattice="5.7526 0.0000 0.0000 0.0000 5.7526 0.0000 0.0000 0.0000 5.2766" Properties=species:S:1:pos:R:3 pbc="T T T"
Na 0.0000 2.8763 0.0000
Na 2.8763 0.0000 0.0000
Ge 0.0000 0.0000 0.0000
Ga 0.0000 0.0000 2.6383
Rb 2.8763 2.8763 2.6383
```

***

Which structure wins on stability? version B wins.

***

Version A
# Nb4Ga2Ge

A relaxed Nb4Ga2Ge crystal (PBE, Alexandria).

## Properties
ρ in Mg/m³: 6.527
Fermi-level density of states in states/eV/cell: 8.575
SG: I4/mmm, No. 139

```
7
Lattice="-4.2325 1.5526 0.9708 -1.7719 -2.8561 -3.1575 -3.7014 -5.6045 3.7792" Properties=species:S:1:pos:R:3 pbc="T T T"
Nb -3.4536 -3.8493 2.0524
Nb -6.2522 -3.0587 -0.4599
Nb -0.8860 -1.4281 -1.5787
Nb -2.1162 0.7763 0.4854
Ge 0.0000 0.0000 0.0000
Ga -3.1856 -1.9510 0.1848
Ga -6.5202 -4.9571 1.4077
```

***

Version B
# Nb4Ga2Ge

A relaxed Nb4Ga2Ge crystal (PBE, Alexandria).

## Properties
ρ in Mg/m³: 7.947
Fermi-level density of states in states/eV/cell: 3.356
SG: I-42d, No. 122

```
14
Lattice="6.7561 -0.9059 -0.1237 -1.3958 6.6721 0.1199 -2.5895 -2.9637 5.5670" Properties=species:S:1:pos:R:3 pbc="T T T"
Nb -1.2366 0.6399 2.2564
Nb 1.2100 2.0737 1.4025
Nb 3.4988 1.6136 3.3066
Nb 2.7682 -2.0593 4.1019
Nb 0.5114 5.4112 1.4616
Nb -0.6095 -1.6073 4.1611
Nb 0.1468 2.0432 5.0386
Nb 4.7941 3.0951 0.5243
Ga 1.2451 0.1892 3.4746
Ga 2.8651 4.0553 2.0886
Ga 3.5418 0.7392 0.6605
Ga -2.1108 0.6217 4.9038
Ge -0.6516 3.2956 2.8423
Ge 2.7704 2.8022 5.5624
```

***

Which structure wins on stability? version B wins.

***

Version A
# Nb5Ga2Ge

A relaxed Nb5Ga2Ge crystal (PBE, Alexandria).

## Properties
ρ in Mg/m³: 8.203
Fermi-level density of states in states/eV/cell: 7.252
SG: I4/mcm, No. 140

```
16
Lattice="6.1175 0.0000 -2.8878 -1.3632 5.9637 -2.8878 -0.1244 -0.1560 7.6601" Properties=species:S:1:pos:R:3 pbc="T T T"
Nb 2.1044 3.9576 1.8570
Nb 3.6180 5.8561 -2.8602
Nb 0.0000 0.0000 0.0000
Nb 2.3772 2.9818 -2.8878
Nb 1.0119 -0.0485 4.7448
Nb 3.8366 0.9757 2.8049
Nb -0.7202 2.9334 3.7968
Nb 0.7934 4.8320 -0.9204
Nb 5.3502 2.8743 -1.9123
Nb 2.5255 1.8501 0.0276
Ga 0.3097 2.1916 -1.4439
Ga 3.6887 0.7903 -2.2092
Ga 1.0656 5.1734 -3.5663
Ga 4.4446 3.7721 -4.3317
Ge 3.5035 4.3948 -0.5016
Ge 1.1264 1.4129 2.3862
```

***

Version B
# Nb5Ga2Ge

A relaxed Nb5Ga2Ge crystal (PBE, Alexandria).

## Properties
ρ in Mg/m³: 8.197
Fermi-level density of states in states/eV/cell: 7.649
SG: C2/m, No. 12

```
8
Lattice="6.8346 -0.0005 0.0058 -0.0003 6.8369 0.0061 -3.4142 -3.4154 2.9275" Properties=species:S:1:pos:R:3 pbc="T T T"
Nb 1.7107 -1.7062 2.7707
Nb -1.7049 -1.7067 2.7672
Nb 1.7121 1.7112 2.7727
Nb -1.7065 1.7122 2.7692
Nb 3.4178 3.4207 1.3092
Ga 0.0018 3.4193 1.3067
Ga 3.4188 -0.0003 1.3065
Ge 0.0012 0.0018 1.3025
```

***

Which structure wins on stability? version A wins.

***

Version A
# Nb2GaGe2

A relaxed Nb2GaGe2 crystal (PBE, Alexandria).

## Properties
ρ in Mg/m³: 7.524
Fermi-level density of states in states/eV/cell: 4.968
SG: P4/mbm, No. 127

```
10
Lattice="-1.3376 -1.4136 6.7355 -6.7334 -1.1504 -1.5786 0.7308 -3.4756 -0.5843" Properties=species:S:1:pos:R:3 pbc="T T T"
Nb -6.1414 -1.4567 0.9835
Nb -5.5473 -1.9477 4.6474
Nb -1.9297 -1.1073 4.1734
Nb -2.5238 -0.6163 0.5095
Ge -4.1505 -2.6781 -0.3472
Ge -6.2685 -3.6325 2.6808
Ge -3.1897 -3.3615 4.9198
Ge -1.0717 -2.4071 1.8918
Ga 0.0000 0.0000 0.0000
Ga -4.0355 -1.2820 2.5784
```

***

Version B
# Nb2GaGe2

A relaxed Nb2GaGe2 crystal (PBE, Alexandria).

## Properties
ρ in Mg/m³: 7.807
Fermi-level density of states in states/eV/cell: 7.774
SG: P4/mbm, No. 127

```
10
Lattice="6.8962 0.0000 0.0000 0.0000 6.8962 0.0000 0.0000 0.0000 3.5851" Properties=species:S:1:pos:R:3 pbc="T T T"
Nb 1.1442 4.5923 1.7925
Nb 4.5923 5.7520 1.7925
Nb 5.7520 2.3039 1.7925
Nb 2.3039 1.1442 1.7925
Ge 2.5269 5.9750 0.0000
Ge 5.9750 4.3693 0.0000
Ge 4.3693 0.9212 0.0000
Ge 0.9212 2.5269 0.0000
Ga 0.0000 0.0000 0.0000
Ga 3.4481 3.4481 0.0000
```

***

Which structure wins on stability? version A wins.